Record 1
Material: Mn2CrW
Method: DFT, SCAN
State: PBEsol geometry

Summary:
**ΔH_f (0 K)**: -0.04 eV/atom
**E_tot**: -1.146 Ha/atom
**DOS(E_F)**: 2.20 states/eV per cell

a b c (Å): 2.9508 4.0284 4.1193
angles (deg): 90.00 90.00 90.00
Element x y z (fractional)
Mn (0.0000, 0.0000, 0.0000)
Mn (0.5000, 0.0000, 0.5000)
Cr (0.0000, 0.5000, 0.5000)
W (0.5000, 0.5000, 0.0000)

Record 2
Material: Y2MnCr
Method: DFT, SCAN
State: PBEsol geometry

Summary:
**ΔH_f (0 K)**: 0.03 eV/atom
**E_tot**: -0.847 Ha/atom
**DOS(E_F)**: 2.94 states/eV per cell

a b c (Å): 4.9059 4.9059 4.9059
angles (deg): 119.88 119.88 90.20
Element x y z (fractional)
Y (0.2500, 0.7500, 0.5000)
Y (0.7500, 0.2500, 0.5000)
Mn (0.0000, 0.0000, 0.0000)
Cr (0.5000, 0.5000, 0.0000)

- The lowest ΔH_f (0 K) belongs to which entry?
  Mn2CrW